First-principles (PBE) data for crystalline BaBe2Cu at its relaxed geometry, as listed in Alexandria.

Lattice parameters (Å, degrees): 6.872 3.937 5.892 90.00 100.33 90.00
Sites, in units of the cell vectors:
1 Ba 0.000 0.000 0.000
2 Ba 0.500 0.500 0.000
3 Be 0.177 0.000 0.525
4 Be 0.323 0.500 0.475
5 Be 0.677 0.500 0.525
6 Be 0.823 0.000 0.475
7 Cu 0.000 0.500 0.500
8 Cu 0.500 0.000 0.500

Computed properties:
E above lowest polymorph: 9 meV/atom
DOS(E_F): 2.577 states/eV/f.u.
E_form: 0.115 eV per atom

First-principles (PBE) data for crystalline YErGaPt at its relaxed geometry, as listed in Alexandria.

Lattice parameters (Å, degrees): 4.461 3.754 10.844 90.00 90.00 90.00
Sites, in units of the cell vectors:
1 Y 0.000 0.000 0.000
2 Y 0.000 0.500 0.500
3 Er 0.500 0.000 0.284
4 Er 0.500 0.500 0.784
5 Ga 0.000 0.000 0.721
6 Ga 0.000 0.500 0.221
7 Pt 0.500 0.000 0.567
8 Pt 0.500 0.500 0.067

Computed properties:
E above lowest polymorph: 0 meV/atom
DOS(E_F): 2.673 states/eV/f.u.
E_form: -0.951 eV per atom

First-principles (PBE) data for crystalline KCa2Sb at its relaxed geometry, as listed in Alexandria.

Lattice parameters (Å, degrees): 4.167 4.763 17.882 90.00 90.00 90.00
Sites, in units of the cell vectors:
1 K 0.000 0.000 0.000
2 K 0.500 0.500 0.500
3 Ca 0.000 0.000 0.329
4 Ca 0.000 0.500 0.176
5 Ca 0.500 0.000 0.676
6 Ca 0.500 0.500 0.829
7 Sb 0.000 0.500 0.691
8 Sb 0.500 0.000 0.191

Computed properties:
E_form (uncorrected): -0.402 eV per atom
DOS(E_F): 2.048 states/eV/f.u.

First-principles (PBE) data for crystalline Na2Ge12Pt7 at its relaxed geometry, as listed in Alexandria.

Lattice parameters (Å, degrees): 10.584 10.584 4.016 90.00 90.00 120.00
Sites, in units of the cell vectors:
1 Na 0.333 0.667 0.257
2 Na 0.667 0.333 0.743
3 Ge 0.077 0.452 0.744
4 Ge 0.122 0.263 0.264
5 Ge 0.141 0.878 0.264
6 Ge 0.263 0.141 0.736
7 Ge 0.376 0.923 0.744
8 Ge 0.452 0.376 0.256
9 Ge 0.548 0.624 0.744
10 Ge 0.624 0.077 0.256
11 Ge 0.737 0.859 0.264
12 Ge 0.859 0.122 0.736
13 Ge 0.878 0.737 0.736
14 Ge 0.923 0.548 0.256
15 Pt 0.000 0.000 0.500
16 Pt 0.103 0.706 0.775
17 Pt 0.294 0.397 0.775
18 Pt 0.397 0.103 0.225
19 Pt 0.603 0.897 0.775
20 Pt 0.706 0.603 0.225
21 Pt 0.897 0.294 0.225

Computed properties:
DOS(E_F): 10.770 states/eV/f.u.
E_form: -0.328 eV per atom

First-principles (PBE) data for crystalline MnAs2W at its relaxed geometry, as listed in Alexandria.

Lattice parameters (Å, degrees): 3.308 3.308 5.834 90.00 90.00 90.00
Sites, in units of the cell vectors:
1 Mn 0.000 0.000 0.000
2 As 0.000 0.000 0.481
3 As 0.500 0.500 0.844
4 W 0.500 0.500 0.287

Computed properties:
E above lowest polymorph: 0 meV/atom
DOS(E_F): 2.159 states/eV/f.u.
E_form: 0.011 eV per atom

First-principles (PBE) data for crystalline AlInPb2 at its relaxed geometry, as listed in Alexandria.

Lattice parameters (Å, degrees): 4.700 4.700 18.641 90.00 90.00 120.00
Sites, in units of the cell vectors:
1 Al 0.000 0.000 0.000
2 Al 0.333 0.667 0.667
3 Al 0.667 0.333 0.333
4 In 0.000 0.000 0.168
5 In 0.333 0.667 0.834
6 In 0.667 0.333 0.501
7 Pb 0.000 0.000 0.405
8 Pb 0.000 0.000 0.597
9 Pb 0.333 0.667 0.072
10 Pb 0.333 0.667 0.263
11 Pb 0.667 0.333 0.738
12 Pb 0.667 0.333 0.930

Computed properties:
E above lowest polymorph: 63 meV/atom
DOS(E_F): 2.110 states/eV/f.u.
E_form: 0.193 eV per atom

First-principles (PBE) data for crystalline Tb4SmHo5 at its relaxed geometry, as listed in Alexandria.

Lattice parameters (Å, degrees): 7.863 7.863 7.863 99.08 99.08 133.20
Sites, in units of the cell vectors:
1 Tb 0.048 0.348 0.396
2 Tb 0.348 0.952 0.300
3 Tb 0.652 0.048 0.700
4 Tb 0.952 0.652 0.604
5 Sm 0.769 0.769 0.000
6 Ho 0.228 0.228 0.000
7 Ho 0.266 0.644 0.916
8 Ho 0.350 0.266 0.621
9 Ho 0.644 0.729 0.379
10 Ho 0.729 0.350 0.084

Computed properties:
DOS(E_F): 14.421 states/eV/f.u.
E_form: 0.301 eV per atom

First-principles (PBE) data for crystalline PbW2C at its relaxed geometry, as listed in Alexandria.

Lattice parameters (Å, degrees): 5.193 5.193 11.870 90.00 90.00 90.00
Sites, in units of the cell vectors:
1 Pb 0.000 0.000 0.000
2 Pb 0.000 0.500 0.250
3 Pb 0.500 0.000 0.750
4 Pb 0.500 0.500 0.500
5 W 0.088 0.250 0.625
6 W 0.250 0.588 0.875
7 W 0.250 0.912 0.375
8 W 0.412 0.250 0.125
9 W 0.588 0.750 0.125
10 W 0.750 0.088 0.375
11 W 0.750 0.412 0.875
12 W 0.912 0.750 0.625
13 C 0.000 0.000 0.500
14 C 0.000 0.500 0.750
15 C 0.500 0.000 0.250
16 C 0.500 0.500 0.000

Computed properties:
E above lowest polymorph: 0 meV/atom
DOS(E_F): 1.559 states/eV/f.u.
E_form: 1.191 eV per atom

First-principles (PBE) data for crystalline Zr2BeAuN at its relaxed geometry, as listed in Alexandria.

Lattice parameters (Å, degrees): 4.660 4.660 3.468 90.00 90.00 90.00
Sites, in units of the cell vectors:
1 Zr 0.000 0.500 0.000
2 Zr 0.500 0.000 0.000
3 Be 0.000 0.000 0.500
4 Au 0.500 0.500 0.500
5 N 0.000 0.000 0.000

Computed properties:
E_form (uncorrected): -0.765 eV per atom
DOS(E_F): 3.402 states/eV/f.u.

First-principles (PBE) data for crystalline LaPr5Dy5 at its relaxed geometry, as listed in Alexandria.

Lattice parameters (Å, degrees): 6.204 6.204 11.854 90.00 90.00 120.00
Sites, in units of the cell vectors:
1 La 0.000 0.000 0.000
2 Pr 0.000 0.000 0.322
3 Pr 0.000 0.000 0.678
4 Pr 0.333 0.667 0.158
5 Pr 0.333 0.667 0.842
6 Pr 0.667 0.333 0.000
7 Dy 0.500 0.001 0.500
8 Dy 0.500 0.500 0.500
9 Dy 0.667 0.333 0.266
10 Dy 0.667 0.333 0.734
11 Dy 0.999 0.500 0.500

Computed properties:
DOS(E_F): 21.795 states/eV/f.u.
E_form: 0.270 eV per atom

First-principles (PBE) data for crystalline HoEr2ZrN4 at its relaxed geometry, as listed in Alexandria.

Lattice parameters (Å, degrees): 5.853 3.377 5.857 90.00 109.29 90.00
Sites, in units of the cell vectors:
1 Ho 0.000 0.000 0.000
2 Er 0.500 0.000 0.500
3 Er 0.500 0.500 0.000
4 Zr 0.000 0.500 0.500
5 N 0.241 0.000 0.739
6 N 0.245 0.500 0.257
7 N 0.755 0.500 0.743
8 N 0.759 0.000 0.261

Computed properties:
E_form (uncorrected): -1.779 eV per atom
DOS(E_F): 1.047 states/eV/f.u.

First-principles (PBE) data for crystalline SrZrTi2 at its relaxed geometry, as listed in Alexandria.

Lattice parameters (Å, degrees): 4.917 4.917 19.963 90.00 90.00 90.00
Sites, in units of the cell vectors:
1 Sr 0.000 0.000 0.000
2 Sr 0.000 0.500 0.250
3 Sr 0.500 0.000 0.750
4 Sr 0.500 0.500 0.500
5 Zr 0.000 0.000 0.500
6 Zr 0.000 0.500 0.750
7 Zr 0.500 0.000 0.250
8 Zr 0.500 0.500 0.000
9 Ti 0.016 0.250 0.625
10 Ti 0.250 0.516 0.875
11 Ti 0.250 0.984 0.375
12 Ti 0.484 0.250 0.125
13 Ti 0.516 0.750 0.125
14 Ti 0.750 0.016 0.375
15 Ti 0.750 0.484 0.875
16 Ti 0.984 0.750 0.625

Computed properties:
E above lowest polymorph: 396 meV/atom
DOS(E_F): 5.891 states/eV/f.u.
E_form: 1.074 eV per atom

First-principles (PBE) data for crystalline CoAs2Os at its relaxed geometry, as listed in Alexandria.

Lattice parameters (Å, degrees): 7.776 2.999 5.016 90.00 101.49 90.00
Sites, in units of the cell vectors:
1 Co 0.000 0.000 0.000
2 Co 0.500 0.500 0.000
3 As 0.247 0.000 0.755
4 As 0.253 0.500 0.245
5 As 0.747 0.500 0.755
6 As 0.753 0.000 0.245
7 Os 0.000 0.500 0.500
8 Os 0.500 0.000 0.500

Computed properties:
E above lowest polymorph: 142 meV/atom
DOS(E_F): 3.241 states/eV/f.u.
E_form: 0.231 eV per atom